{
  "formula": "VMoO4",
  "functional": "PBE+U",
  "state": "relaxed",
  "cell": [[5.560, 0.000, 0.000], [0.000, 5.560, 0.000], [-2.780, -2.780, 4.378]],
  "species": ["O", "O", "V", "O", "Mo", "O"],
  "fractional_positions": [[0.113, 0.263, 0.750], [0.513, 0.887, 0.250], [0.750, 0.250, 0.500], [0.637, 0.487, 0.750], [0.500, 0.500, 0.000], [0.737, 0.363, 0.250]],
  "magnetic_moment_mub_per_atom": 0.500,
  "space_group": "No. 82",
  "final_energy_ev_per_cell": -44.0
}